(1)
Mn4C3: relaxed, PBE.

Geometry as POSCAR:
```
Mn4C3
1.0
4.267 0.000 0.000
0.000 4.267 0.000
0.000 0.000 4.267
Mn C
4 3
direct
0.242 0.242 0.758 Mn
0.242 0.758 0.242 Mn
0.758 0.242 0.242 Mn
0.758 0.758 0.758 Mn
0.000 0.500 0.500 C
0.500 0.000 0.500 C
0.500 0.500 0.000 C
```

Space-group type: No. 215
M_tot, μB/f.u.: 7.8
Energy relative to the elements, eV per formula unit: 3.60



(2)
MnC: relaxed, PBE.

Geometry as POSCAR:
```
MnC
1.0
3.341 0.000 0.000
-1.670 2.893 0.000
0.000 0.000 3.945
Mn C
2 2
direct
0.333 0.667 0.250 Mn
0.667 0.333 0.750 Mn
0.333 0.667 0.750 C
0.667 0.333 0.250 C
```

Space-group type: No. 194
M_tot, μB/f.u.: 1.1
Energy relative to the elements, eV per formula unit: 0.48